[1]
Material: CaIn2Ag
Method: DFT, PBE-GGA
State: relaxed

abc: 4.536 4.536 4.760
angles: 90.00 90.00 90.00
Fractional positions:
Ca1 0.000 0.000 0.000
In1 0.000 0.500 0.500
In2 0.500 0.000 0.500
Ag1 0.500 0.500 0.000

- E_form (eV/atom) = -0.259
- DFT total energy (eV/atom) = -2.84

---

[2]
Material: Ca2In2Ag
Method: DFT, PBE-GGA
State: relaxed

abc: 7.541 7.541 4.914
angles: 90.00 90.00 90.00
Fractional positions:
Ca1 0.168 0.332 0.000
Ca2 0.332 0.832 0.000
Ca3 0.668 0.168 0.000
Ca4 0.832 0.668 0.000
In1 0.138 0.638 0.500
In2 0.362 0.138 0.500
In3 0.638 0.862 0.500
In4 0.862 0.362 0.500
Ag1 0.000 0.000 0.500
Ag2 0.500 0.500 0.500

- E_form (eV/atom) = -0.322
- relative energy among the computed polymorphs (eV per atom) = 0.066
- DFT total energy (eV/atom) = -2.79

---

[3]
Material: Ca2In2Ag
Method: DFT, PBE-GGA
State: relaxed

abc: 3.698 7.837 7.837
angles: 35.96 90.00 90.00
Fractional positions:
Ca1 0.000 0.000 0.000
Ca2 0.000 0.238 0.238
In1 0.500 0.615 0.615
In2 0.500 0.819 0.819
Ag1 0.500 0.419 0.419

- E_form (eV/atom) = -0.388
- relative energy among the computed polymorphs (eV per atom) = 0.000
- DFT total energy (eV/atom) = -2.85

---

[4]
Material: CaIn2Ag
Method: DFT, PBE-GGA
State: relaxed

abc: 5.937 5.937 5.937
angles: 142.28 126.23 67.54
Fractional positions:
Ca1 0.000 0.000 0.000
In1 0.276 0.776 0.500
In2 0.724 0.224 0.500
Ag1 0.500 0.500 0.000

- E_form (eV/atom) = -0.220
- DFT total energy (eV/atom) = -2.80

---

[5]
Material: CaInAg6
Method: DFT, PBE-GGA
State: relaxed

abc: 5.455 5.455 5.455
angles: 90.00 90.00 90.00
Fractional positions:
Ca1 0.000 0.000 0.000
In1 0.500 0.500 0.500
Ag1 0.000 0.252 0.500
Ag2 0.000 0.748 0.500
Ag3 0.252 0.500 0.000
Ag4 0.500 0.000 0.252
Ag5 0.500 0.000 0.748
Ag6 0.748 0.500 0.000

- E_form (eV/atom) = -0.048
- DFT total energy (eV/atom) = -2.78

---

[6]
Material: Ca2In2Ag
Method: DFT, PBE-GGA
State: relaxed

abc: 8.627 8.627 4.067
angles: 90.00 90.00 90.00
Fractional positions:
Ca1 0.168 0.332 0.000
Ca2 0.332 0.832 0.000
Ca3 0.668 0.168 0.000
Ca4 0.832 0.668 0.000
In1 0.131 0.631 0.500
In2 0.369 0.131 0.500
In3 0.631 0.869 0.500
In4 0.869 0.369 0.500
Ag1 0.000 0.000 0.000
Ag2 0.500 0.500 0.000

- E_form (eV/atom) = -0.075
- relative energy among the computed polymorphs (eV per atom) = 0.313
- DFT total energy (eV/atom) = -2.54

---

[7]
Material: CaIn2Ag
Method: DFT, PBE-GGA
State: relaxed

abc: 3.485 4.994 5.892
angles: 90.00 90.07 90.00
Fractional positions:
Ca1 0.000 0.000 0.000
In1 0.499 0.000 0.516
In2 0.502 0.500 0.246
Ag1 0.500 0.500 0.763

- E_form (eV/atom) = -0.233
- DFT total energy (eV/atom) = -2.82

---

[8]
Material: Ca2InAg
Method: DFT, PBE-GGA
State: relaxed

abc: 6.877 6.877 6.877
angles: 104.16 104.16 120.70
Fractional positions:
Ca1 0.099 0.625 0.974
Ca2 0.375 0.349 0.474
Ca3 0.651 0.125 0.026
Ca4 0.875 0.901 0.526
In1 0.250 0.750 0.500
In2 0.500 0.500 0.000
Ag1 0.000 0.000 0.000
Ag2 0.750 0.250 0.500

- E_form (eV/atom) = -0.084
- DFT total energy (eV/atom) = -2.48

---

[9]
Material: Ca6InAg5
Method: DFT, PBE-GGA
State: relaxed

abc: 8.403 8.403 7.410
angles: 90.00 90.00 143.18
Fractional positions:
Ca1 0.000 0.000 0.246
Ca2 0.000 0.000 0.754
Ca3 0.331 0.669 0.251
Ca4 0.331 0.669 0.749
Ca5 0.669 0.331 0.251
Ca6 0.669 0.331 0.749
In1 0.500 0.500 0.500
Ag1 0.161 0.839 0.500
Ag2 0.167 0.833 0.000
Ag3 0.500 0.500 0.000
Ag4 0.833 0.167 0.000
Ag5 0.839 0.161 0.500

- E_form (eV/atom) = -0.334
- DFT total energy (eV/atom) = -2.75

---

[10]
Material: Ca2InAg
Method: DFT, PBE-GGA
State: relaxed

abc: 5.270 3.839 10.766
angles: 90.00 90.14 90.00
Fractional positions:
Ca1 0.248 0.000 0.142
Ca2 0.251 0.000 0.623
Ca3 0.749 0.000 0.377
Ca4 0.752 0.000 0.858
In1 0.252 0.500 0.890
In2 0.748 0.500 0.110
Ag1 0.249 0.500 0.385
Ag2 0.751 0.500 0.615

- E_form (eV/atom) = -0.412
- DFT total energy (eV/atom) = -2.81

---

[11]
Material: CaIn2Ag6
Method: DFT, PBE-GGA
State: relaxed

abc: 8.271 8.271 8.271
angles: 154.24 125.34 61.38
Fractional positions:
Ca1 0.000 0.000 0.000
In1 0.361 0.861 0.500
In2 0.639 0.139 0.500
Ag1 0.005 0.320 0.685
Ag2 0.321 0.500 0.821
Ag3 0.364 0.680 0.685
Ag4 0.636 0.320 0.315
Ag5 0.679 0.500 0.179
Ag6 0.995 0.680 0.315

- E_form (eV/atom) = -0.037
- relative energy among the computed polymorphs (eV per atom) = 0.000
- DFT total energy (eV/atom) = -2.77

---

[12]
Material: Ca3In3Ag2
Method: DFT, PBE-GGA
State: relaxed

abc: 6.089 6.089 15.948
angles: 90.00 90.00 133.24
Fractional positions:
Ca1 0.081 0.919 0.609
Ca2 0.081 0.919 0.891
Ca3 0.354 0.646 0.750
Ca4 0.646 0.354 0.250
Ca5 0.919 0.081 0.109
Ca6 0.919 0.081 0.391
In1 0.356 0.644 0.250
In2 0.379 0.621 0.541
In3 0.379 0.621 0.959
In4 0.621 0.379 0.041
In5 0.621 0.379 0.459
In6 0.644 0.356 0.750
Ag1 0.211 0.789 0.105
Ag2 0.211 0.789 0.395
Ag3 0.789 0.211 0.605
Ag4 0.789 0.211 0.895

- E_form (eV/atom) = -0.380
- relative energy among the computed polymorphs (eV per atom) = 0.000
- DFT total energy (eV/atom) = -2.87

---

[13]
Material: Ca2In2Ag
Method: DFT, PBE-GGA
State: relaxed

abc: 6.172 6.172 11.438
angles: 113.64 113.64 45.35
Fractional positions:
Ca1 0.007 0.007 0.331
Ca2 0.186 0.186 0.109
Ca3 0.814 0.814 0.891
Ca4 0.993 0.993 0.669
In1 0.353 0.353 0.438
In2 0.474 0.474 0.116
In3 0.526 0.526 0.884
In4 0.647 0.647 0.562
Ag1 0.283 0.283 0.662
Ag2 0.717 0.717 0.338

- E_form (eV/atom) = -0.382
- relative energy among the computed polymorphs (eV per atom) = 0.006
- DFT total energy (eV/atom) = -2.85

---

[14]
Material: CaIn2Ag
Method: DFT, PBE-GGA
State: relaxed

abc: 3.577 3.577 7.640
angles: 90.00 90.00 90.00
Fractional positions:
Ca1 0.000 0.000 0.000
In1 0.500 0.500 0.289
In2 0.500 0.500 0.711
Ag1 0.000 0.000 0.500

- E_form (eV/atom) = -0.247
- DFT total energy (eV/atom) = -2.83

---

[15]
Material: CaIn2Ag
Method: DFT, PBE-GGA
State: relaxed

abc: 9.322 9.322 9.322
angles: 22.71 22.71 22.71
Fractional positions:
Ca1 0.000 0.000 0.000
In1 0.239 0.239 0.239
In2 0.761 0.761 0.761
Ag1 0.500 0.500 0.500

- E_form (eV/atom) = -0.120
- DFT total energy (eV/atom) = -2.70

---

[16]
Material: CaIn2Ag
Method: DFT, PBE-GGA
State: relaxed

abc: 3.502 4.888 5.999
angles: 90.00 98.70 90.00
Fractional positions:
Ca1 0.000 0.000 0.000
In1 0.396 0.500 0.737
In2 0.604 0.500 0.263
Ag1 0.500 0.000 0.500

- E_form (eV/atom) = -0.235
- DFT total energy (eV/atom) = -2.82

---

[17]
Material: Ca8In2Ag
Method: DFT, PBE-GGA
State: relaxed

abc: 9.852 9.852 7.463
angles: 108.23 108.23 32.15
Fractional positions:
Ca1 0.024 0.024 0.283
Ca2 0.203 0.203 0.794
Ca3 0.340 0.340 0.546
Ca4 0.402 0.402 0.057
Ca5 0.598 0.598 0.943
Ca6 0.660 0.660 0.454
Ca7 0.797 0.797 0.206
Ca8 0.976 0.976 0.717
In1 0.181 0.181 0.203
In2 0.819 0.819 0.797
Ag1 0.500 0.500 0.500

- E_form (eV/atom) = -0.267
- relative energy among the computed polymorphs (eV per atom) = 0.000
- DFT total energy (eV/atom) = -2.48

---

[18]
Material: Ca3InAg3
Method: DFT, PBE-GGA
State: relaxed

abc: 6.287 6.287 15.185
angles: 107.82 107.82 41.68
Fractional positions:
Ca1 0.018 0.018 0.380
Ca2 0.110 0.110 0.924
Ca3 0.238 0.238 0.226
Ca4 0.762 0.762 0.774
Ca5 0.890 0.890 0.076
Ca6 0.982 0.982 0.620
In1 0.268 0.268 0.603
In2 0.732 0.732 0.397
Ag1 0.376 0.376 0.455
Ag2 0.390 0.390 0.924
Ag3 0.480 0.480 0.771
Ag4 0.520 0.520 0.229
Ag5 0.610 0.610 0.076
Ag6 0.624 0.624 0.545

- E_form (eV/atom) = -0.325
- DFT total energy (eV/atom) = -2.80

---

[19]
Material: CaIn4Ag6
Method: DFT, PBE-GGA
State: relaxed

abc: 7.371 7.371 7.371
angles: 122.62 122.62 85.52
Fractional positions:
Ca1 0.000 0.000 0.000
In1 0.213 0.213 0.656
In2 0.443 0.787 0.000
In3 0.557 0.557 0.344
In4 0.787 0.443 0.000
Ag1 0.000 0.500 0.500
Ag2 0.121 0.580 0.000
Ag3 0.420 0.420 0.541
Ag4 0.500 0.000 0.500
Ag5 0.580 0.121 0.000
Ag6 0.879 0.879 0.459

- E_form (eV/atom) = 0.023
- DFT total energy (eV/atom) = -2.71

---

[20]
Material: CaIn5Ag
Method: DFT, PBE-GGA
State: relaxed

abc: 4.904 4.904 7.508
angles: 90.00 90.00 90.00
Fractional positions:
Ca1 0.000 0.000 0.000
In1 0.000 0.500 0.289
In2 0.000 0.500 0.711
In3 0.500 0.000 0.289
In4 0.500 0.000 0.711
In5 0.500 0.500 0.000
Ag1 0.000 0.000 0.500

- E_form (eV/atom) = -0.180
- DFT total energy (eV/atom) = -2.83

---

Number 1: DOS(E_F) 2.571 states/eV per cell. Number 2: DOS(E_F) 8.043 states/eV per cell. Number 3: DOS(E_F) 2.658 states/eV per cell. Number 4: DOS(E_F) 1.769 states/eV per cell. Number 5: DOS(E_F) 1.941 states/eV per cell. Number 6: DOS(E_F) 5.293 states/eV per cell. Number 7: DOS(E_F) 1.529 states/eV per cell. Number 8: DOS(E_F) 2.863 states/eV per cell. Number 9: DOS(E_F) 8.281 states/eV per cell. Number 10: DOS(E_F) 4.883 states/eV per cell. Number 11: DOS(E_F) 2.855 states/eV per cell. Number 12: DOS(E_F) 9.671 states/eV per cell. Number 13: DOS(E_F) 6.778 states/eV per cell. Number 14: DOS(E_F) 1.260 states/eV per cell. Number 15: DOS(E_F) 1.387 states/eV per cell. Number 16: DOS(E_F) 1.834 states/eV per cell. Number 17: DOS(E_F) 9.476 states/eV per cell. Number 18: DOS(E_F) 6.235 states/eV per cell. Number 19: DOS(E_F) 3.693 states/eV per cell. Number 20: DOS(E_F) 3.188 states/eV per cell.